Compound: Tb5PmHg3
Source: Alexandria
Functional: PBE
Structure: relaxed

Structure (CIF):
```
data_Tb5PmHg3
_chemical_formula_sum 'Tb10 Pm2 Hg6'
_symmetry_space_group_name_H-M 'P 63/m c m'
_symmetry_Int_Tables_number 193
_symmetry_space_group_name_Hall '-P 6c 2'
_cell_length_a 9.1429
_cell_length_b 9.1429
_cell_length_c 6.9923
_cell_angle_alpha 90.00
_cell_angle_beta 90.00
_cell_angle_gamma 120.00
loop_
_atom_site_label
_atom_site_fract_x
_atom_site_fract_y
_atom_site_fract_z
Tb1 0.0000 0.3315 0.2500
Tb2 0.3333 0.6667 0.0000
Pm1 0.0000 0.0000 0.0000
Hg1 0.0000 0.3378 0.7500
```

Properties
ΔE_f in eV/atom: -0.30


Compound: Ga2CuNi
Source: Alexandria
Functional: PBE
Structure: relaxed

Structure (CIF):
```
data_Ga2CuNi
_chemical_formula_sum 'Ga2 Cu1 Ni1'
_symmetry_space_group_name_H-M 'P 4/m m m'
_symmetry_Int_Tables_number 123
_symmetry_space_group_name_Hall '-P 4 2'
_cell_length_a 4.066
_cell_length_b 4.066
_cell_length_c 3.157
_cell_angle_alpha 90.00
_cell_angle_beta 90.00
_cell_angle_gamma 90.00
loop_
_atom_site_label
_atom_site_fract_x
_atom_site_fract_y
_atom_site_fract_z
Ga1 0.000 0.500 0.000
Cu1 0.000 0.000 0.500
Ni1 0.500 0.500 0.500
```

Properties
ΔE_f in eV/atom: -0.18


Compound: In2BS
Source: Alexandria
Functional: PBE
Structure: relaxed

Structure (CIF):
```
data_In2BS
_chemical_formula_sum 'In8 B4 S4'
_symmetry_space_group_name_H-M 'I -4 2 d'
_symmetry_Int_Tables_number 122
_symmetry_space_group_name_Hall 'I -4 2bw'
_cell_length_a 5.744
_cell_length_b 5.744
_cell_length_c 11.125
_cell_angle_alpha 90.00
_cell_angle_beta 90.00
_cell_angle_gamma 90.00
loop_
_atom_site_label
_atom_site_fract_x
_atom_site_fract_y
_atom_site_fract_z
In1 0.196 0.250 0.125
B1 0.000 0.000 0.000
S1 0.000 0.000 0.500
```

Properties
Electronic total energy in eV/atom: -3.863


Compound: La4TbMg3
Source: Alexandria
Functional: PBE
Structure: relaxed

Structure (CIF):
```
data_La4TbMg3
_chemical_formula_sum 'La4 Tb1 Mg3'
_symmetry_space_group_name_H-M 'P 4/m m m'
_symmetry_Int_Tables_number 123
_symmetry_space_group_name_Hall '-P 4 2'
_cell_length_a 3.904
_cell_length_b 3.904
_cell_length_c 16.902
_cell_angle_alpha 90.00
_cell_angle_beta 90.00
_cell_angle_gamma 90.00
loop_
_atom_site_label
_atom_site_fract_x
_atom_site_fract_y
_atom_site_fract_z
La1 0.000 0.000 0.119
La2 0.000 0.000 0.358
Tb1 0.500 0.500 0.500
Mg1 0.500 0.500 0.000
Mg2 0.500 0.500 0.239
```

Properties
ΔE_f in eV/atom: -0.07


Compound: AgTe2
Source: Alexandria
Functional: PBE
Structure: relaxed

Structure (CIF):
```
data_AgTe2
_chemical_formula_sum 'Ag4 Te8'
_symmetry_space_group_name_H-M 'P n m a'
_symmetry_Int_Tables_number 62
_cell_length_a 9.131
_cell_length_b 3.881
_cell_length_c 11.043
_cell_angle_alpha 90.00
_cell_angle_beta 90.00
_cell_angle_gamma 90.00
loop_
_symmetry_equiv_pos_as_xyz
'x,y,z'
'-x,-y,-z'
'-x+1/2,-y,z+1/2'
'x+1/2,y,-z+1/2'
'x+1/2,-y+1/2,-z+1/2'
'-x+1/2,y+1/2,z+1/2'
'-x,y+1/2,-z'
'x,-y+1/2,z'
loop_
_atom_site_label
_atom_site_fract_x
_atom_site_fract_y
_atom_site_fract_z
Ag1 0.090 0.250 0.075
Te1 0.206 0.250 0.673
Te2 0.214 0.750 0.886
```

Properties
Electronic total energy in eV/atom: -2.947


Compound: BaSrH
Source: Alexandria
Functional: PBE
Structure: relaxed

Structure (CIF):
```
data_BaSrH
_chemical_formula_sum 'Ba4 Sr4 H4'
_symmetry_space_group_name_H-M 'C 1 m 1'
_symmetry_Int_Tables_number 8
_cell_length_a 15.490
_cell_length_b 4.437
_cell_length_c 7.193
_cell_angle_alpha 90.00
_cell_angle_beta 115.69
_cell_angle_gamma 90.00
loop_
_symmetry_equiv_pos_as_xyz
'x,y,z'
'x,-y,z'
'x+1/2,y+1/2,z'
'x+1/2,-y+1/2,z'
loop_
_atom_site_label
_atom_site_fract_x
_atom_site_fract_y
_atom_site_fract_z
Ba1 0.000 0.000 0.000
Ba2 0.223 0.000 0.581
Sr1 0.240 0.500 0.107
Sr2 0.491 0.000 0.459
H1 0.034 0.000 0.386
H2 0.115 0.500 0.276
```

Properties
Electronic total energy in eV/atom: -2.546